## CdNi2Bi (PBE-GGA)

Data for a relaxed CdNi2Bi crystal.

Unit cell a=4.6419 b=4.6419 c=4.6419 alpha=60.00 beta=60.00 gamma=60.00
Closest atoms and distances in Å follow each position.
Element x y z (fractional)
Cd  0.0000  0.0000  0.0000  4 Bi 2.84, 4 Ni 2.84
Ni  0.2500  0.2500  0.2500  4 Cd 2.84, 4 Ni 2.84
Ni  0.5000  0.5000  0.5000  4 Bi 2.84, 4 Ni 2.84
Bi  0.7500  0.7500  0.7500  4 Cd 2.84, 4 Ni 2.84

Output
**Total DFT energy (no corrections)**: -14.55 eV for the cell shown
**SG**: F-43m (216)



## CdNiBiPt (PBE-GGA)

Data for a relaxed CdNiBiPt crystal.

Unit cell a=4.7136 b=4.7136 c=4.7136 alpha=60.00 beta=60.00 gamma=60.00
Closest atoms and distances in Å follow each position.
Element x y z (fractional)
Cd  0.0000  0.0000  0.0000  4 Ni 2.89, 4 Pt 2.89
Ni  0.7500  0.7500  0.7500  4 Cd 2.89, 4 Bi 2.89
Bi  0.5000  0.5000  0.5000  4 Ni 2.89, 4 Pt 2.89
Pt  0.2500  0.2500  0.2500  4 Cd 2.89, 4 Bi 2.89

Output
**Total DFT energy (no corrections)**: -16.56 eV for the cell shown
**SG**: F-43m (216)



## CdTcNiBi (PBE-GGA)

Data for a relaxed CdTcNiBi crystal.

Unit cell a=4.6379 b=4.6379 c=4.6379 alpha=60.00 beta=60.00 gamma=60.00
Closest atoms and distances in Å follow each position.
Element x y z (fractional)
Cd  0.0000  0.0000  0.0000  4 Tc 2.84, 4 Ni 2.84
Tc  0.2500  0.2500  0.2500  4 Bi 2.84, 4 Cd 2.84
Ni  0.7500  0.7500  0.7500  4 Cd 2.84, 4 Bi 2.84
Bi  0.5000  0.5000  0.5000  4 Ni 2.84, 4 Tc 2.84

Output
**Total DFT energy (no corrections)**: -19.01 eV for the cell shown
**SG**: F-43m (216)



## Cd2BiO4 (PBE-GGA)

Data for a relaxed Cd2BiO4 crystal.

Unit cell a=6.6959 b=6.6959 c=6.6959 alpha=60.00 beta=60.00 gamma=60.00
Closest atoms and distances in Å follow each position.
Element x y z (fractional)
Cd  0.0000  0.0000  0.0000  6 O 2.32
Cd  0.0000  0.0000  0.5000  6 O 2.32
Cd  0.0000  0.5000  0.0000  6 O 2.32
Cd  0.5000  0.0000  0.0000  6 O 2.32
Bi  0.3750  0.3750  0.3750  4 O 2.14
Bi  0.6250  0.6250  0.6250  4 O 2.14
O  0.2344  0.7552  0.7552  1 Bi 2.14, 3 Cd 2.32
O  0.2448  0.2448  0.2448  1 Bi 2.14, 3 Cd 2.32
O  0.2448  0.2448  0.7656  1 Bi 2.14, 3 Cd 2.32
O  0.2448  0.7656  0.2448  1 Bi 2.14, 3 Cd 2.32
O  0.7552  0.2344  0.7552  1 Bi 2.14, 3 Cd 2.32
O  0.7552  0.7552  0.2344  1 Bi 2.14, 3 Cd 2.32
O  0.7552  0.7552  0.7552  1 Bi 2.14, 3 Cd 2.32
O  0.7656  0.2448  0.2448  1 Bi 2.14, 3 Cd 2.32

Output
**Total DFT energy (no corrections)**: -65.28 eV for the cell shown
**SG**: Fd-3m (227)



## CdBiO3 (PBE-GGA)

Data for a relaxed CdBiO3 crystal.

Unit cell a=4.2647 b=4.2647 c=4.4246 alpha=90.00 beta=90.00 gamma=90.00
Closest atoms and distances in Å follow each position.
Element x y z (fractional)
Cd  0.0000  0.0000  0.0000  4 O 2.36
Bi  0.5000  0.5000  0.6546  5 O 2.08-2.19
O  0.0000  0.5000  0.7719  2 Bi 2.19, 2 Cd 2.36
O  0.5000  0.0000  0.7719  2 Bi 2.19, 2 Cd 2.36
O  0.5000  0.5000  0.1838  1 Bi 2.08

Output
**Total DFT energy (no corrections)**: -23.58 eV for the cell shown
**SG**: P4mm (99)



## CdBi2O (PBE-GGA)

Data for a relaxed CdBi2O crystal.

Unit cell a=5.4647 b=6.7410 c=5.7883 alpha=90.00 beta=90.00 gamma=90.00
Closest atoms and distances in Å follow each position.
Element x y z (fractional)
Cd  0.0000  0.2196  0.2500  2 O 2.28
Cd  0.0000  0.7804  0.7500  2 O 2.28
Bi  0.3438  0.5000  0.0000  2 Cd 3.03, 4 Bi 3.20-3.36
Bi  0.5000  0.0955  0.7500  2 O 2.39
Bi  0.5000  0.9045  0.2500  2 O 2.39
Bi  0.6562  0.5000  0.5000  2 Cd 3.03, 4 Bi 3.20-3.36
O  0.1732  0.0000  0.5000  2 Cd 2.28, 2 Bi 2.39
O  0.8268  0.0000  0.0000  2 Cd 2.28, 2 Bi 2.39

Output
**Total DFT energy (no corrections)**: -30.16 eV for the cell shown
**SG**: P222_1 (17)



## CdBiO3 (PBE-GGA)

Data for a relaxed CdBiO3 crystal.

Unit cell a=5.9128 b=8.3211 c=5.7576 alpha=90.00 beta=90.00 gamma=90.00
Closest atoms and distances in Å follow each position.
Element x y z (fractional)
Cd  0.0483  0.2500  0.0091  4 O 2.27-2.32
Cd  0.4517  0.7500  0.5091  4 O 2.27-2.32
Cd  0.5483  0.2500  0.4909  4 O 2.27-2.32
Cd  0.9517  0.7500  0.9909  4 O 2.27-2.32
Bi  0.0000  0.0000  0.5000  6 O 2.21-2.27
Bi  0.0000  0.5000  0.5000  6 O 2.21-2.27
Bi  0.5000  0.0000  0.0000  6 O 2.21-2.27
Bi  0.5000  0.5000  0.0000  6 O 2.21-2.27
O  0.0840  0.7500  0.3675  2 Bi 2.27, 2 Cd 2.31-2.32
O  0.1866  0.5708  0.8169  2 Bi 2.21, 1 Cd 2.27
O  0.1866  0.9292  0.8169  2 Bi 2.21, 1 Cd 2.27
O  0.3134  0.0708  0.3169  2 Bi 2.21, 1 Cd 2.27
O  0.3134  0.4292  0.3169  2 Bi 2.21, 1 Cd 2.27
O  0.4160  0.2500  0.8675  2 Bi 2.27, 2 Cd 2.31-2.32
O  0.5840  0.7500  0.1325  2 Bi 2.27, 2 Cd 2.31-2.32
O  0.6866  0.5708  0.6831  2 Bi 2.21, 1 Cd 2.27
O  0.6866  0.9292  0.6831  2 Bi 2.21, 1 Cd 2.27
O  0.8134  0.0708  0.1831  2 Bi 2.21, 1 Cd 2.27
O  0.8134  0.4292  0.1831  2 Bi 2.21, 1 Cd 2.27
O  0.9160  0.2500  0.6325  2 Bi 2.27, 2 Cd 2.31-2.32

Output
**Total DFT energy (no corrections)**: -99.20 eV for the cell shown
**SG**: Pnma (62)



## CdBiO3 (PBE-GGA)

Data for a relaxed CdBiO3 crystal.

Unit cell a=6.0176 b=6.0176 c=6.0176 alpha=58.17 beta=58.17 gamma=58.17
Closest atoms and distances in Å follow each position.
Element x y z (fractional)
Cd  0.1351  0.1351  0.1351  6 O 2.28-2.44
Cd  0.8649  0.8649  0.8649  6 O 2.28-2.44
Bi  0.3559  0.3559  0.3559  6 O 2.23-2.28
Bi  0.6441  0.6441  0.6441  6 O 2.23-2.28
O  0.0394  0.7382  0.4624  2 Bi 2.23-2.28, 2 Cd 2.28-2.44
O  0.2618  0.5376  0.9606  2 Bi 2.23-2.28, 2 Cd 2.28-2.44
O  0.4624  0.0394  0.7382  2 Bi 2.23-2.28, 2 Cd 2.28-2.44
O  0.5376  0.9606  0.2618  2 Bi 2.23-2.28, 2 Cd 2.28-2.44
O  0.7382  0.4624  0.0394  2 Bi 2.23-2.28, 2 Cd 2.28-2.44
O  0.9606  0.2618  0.5376  2 Bi 2.23-2.28, 2 Cd 2.28-2.44

Output
**Total DFT energy (no corrections)**: -49.55 eV for the cell shown
**SG**: R-3 (148)



## CdBiPO (PBE-GGA)

Data for a relaxed CdBiPO crystal.

Unit cell a=4.0583 b=4.0583 c=10.6842 alpha=90.00 beta=90.00 gamma=90.00
Closest atoms and distances in Å follow each position.
Element x y z (fractional)
Cd  0.2500  0.2500  0.1206  5 P 2.68-2.87
Cd  0.7500  0.7500  0.8794  5 P 2.68-2.87
Bi  0.2500  0.2500  0.6118  4 O 2.35
Bi  0.7500  0.7500  0.3882  4 O 2.35
P  0.2500  0.2500  0.8695  5 Cd 2.68-2.87, 1 Bi 2.75
P  0.7500  0.7500  0.1305  5 Cd 2.68-2.87, 1 Bi 2.75
O  0.2500  0.7500  0.5000  4 Bi 2.35
O  0.7500  0.2500  0.5000  4 Bi 2.35

Output
**Total DFT energy (no corrections)**: -32.69 eV for the cell shown
**SG**: P4/nmm (129)



## CdBiPO (PBE-GGA)

Data for a relaxed CdBiPO crystal.

Unit cell a=9.7939 b=9.7939 c=9.7939 alpha=27.03 beta=27.03 gamma=27.03
Closest atoms and distances in Å follow each position.
Element x y z (fractional)
Cd  0.1272  0.1272  0.1272  1 O 2.19
Cd  0.8728  0.8728  0.8728  1 O 2.19
Bi  0.2851  0.2851  0.2851  1 O 2.28
Bi  0.7149  0.7149  0.7149  1 O 2.28
P  0.4006  0.4006  0.4006  3 Bi 2.70
P  0.5994  0.5994  0.5994  3 Bi 2.70
O  0.2045  0.2045  0.2045  1 Cd 2.19, 1 Bi 2.28
O  0.7955  0.7955  0.7955  1 Cd 2.19, 1 Bi 2.28

Output
**Total DFT energy (no corrections)**: -31.43 eV for the cell shown
**SG**: R-3m (166)



## CdBiPO (PBE-GGA)

Data for a relaxed CdBiPO crystal.

Unit cell a=6.2977 b=7.4226 c=7.5848 alpha=90.00 beta=90.00 gamma=90.00
Closest atoms and distances in Å follow each position.
Element x y z (fractional)
Cd  0.0251  0.1593  0.3783  2 O 2.23-2.31
Cd  0.4749  0.8407  0.8783  2 O 2.23-2.31
Cd  0.5251  0.3407  0.6217  2 O 2.23-2.31
Cd  0.9749  0.6593  0.1217  2 O 2.23-2.31
Bi  0.0488  0.5929  0.6461  1 O 2.16
Bi  0.4512  0.4071  0.1461  1 O 2.16
Bi  0.5488  0.9071  0.3539  1 O 2.16
Bi  0.9512  0.0929  0.8539  1 O 2.16
P  0.1365  0.8280  0.3813  2 Cd 2.55-2.56, 2 Bi 2.67-2.72
P  0.3635  0.1720  0.8813  2 Cd 2.55-2.56, 2 Bi 2.67-2.72
P  0.6365  0.6720  0.6187  2 Cd 2.55-2.56, 2 Bi 2.67-2.72
P  0.8635  0.3280  0.1187  2 Cd 2.55-2.56, 2 Bi 2.67-2.72
O  0.1200  0.7600  0.8722  1 Bi 2.16, 2 Cd 2.23-2.31
O  0.3800  0.2400  0.3722  1 Bi 2.16, 2 Cd 2.23-2.31
O  0.6200  0.7400  0.1278  1 Bi 2.16, 2 Cd 2.23-2.31
O  0.8800  0.2600  0.6278  1 Bi 2.16, 2 Cd 2.23-2.31

Output
**Total DFT energy (no corrections)**: -68.33 eV for the cell shown
**SG**: P2_12_12_1 (19)



## CdBiPO (PBE-GGA)

Data for a relaxed CdBiPO crystal.

Unit cell a=9.8728 b=18.5686 c=3.8669 alpha=90.00 beta=90.00 gamma=90.00
Closest atoms and distances in Å follow each position.
Element x y z (fractional)
Cd  0.0819  0.0747  0.0000  2 O 2.23
Cd  0.0957  0.6131  0.0000  2 O 2.25
Cd  0.4043  0.1131  0.0000  2 O 2.25
Cd  0.4181  0.5747  0.0000  2 O 2.23
Cd  0.5819  0.4253  0.0000  2 O 2.23
Cd  0.5957  0.8869  0.0000  2 O 2.25
Cd  0.9043  0.3869  0.0000  2 O 2.25
Cd  0.9181  0.9253  0.0000  2 O 2.23
Bi  0.0256  0.2313  0.5000  2 O 2.41-2.43, 2 P 2.67
Bi  0.2427  0.3938  0.5000  2 O 2.36-2.39, 2 P 2.64
Bi  0.2573  0.8938  0.5000  2 O 2.36-2.39, 2 P 2.64
Bi  0.4744  0.7313  0.5000  2 O 2.41-2.43, 2 P 2.67
Bi  0.5256  0.2687  0.5000  2 O 2.41-2.43, 2 P 2.67
Bi  0.7427  0.1062  0.5000  2 O 2.36-2.39, 2 P 2.64
Bi  0.7573  0.6062  0.5000  2 O 2.36-2.39, 2 P 2.64
Bi  0.9744  0.7687  0.5000  2 O 2.41-2.43, 2 P 2.67
P  0.2117  0.2212  0.0000  2 Bi 2.67, 1 Cd 2.76
P  0.2177  0.4898  0.0000  2 Cd 2.53-2.59, 2 Bi 2.64
P  0.2823  0.9898  0.0000  2 Cd 2.53-2.59, 2 Bi 2.64
P  0.2883  0.7212  0.0000  2 Bi 2.67, 1 Cd 2.76
P  0.7117  0.2788  0.0000  2 Bi 2.67, 1 Cd 2.76
P  0.7177  0.0102  0.0000  2 Cd 2.53-2.59, 2 Bi 2.64
P  0.7823  0.5102  0.0000  2 Cd 2.53-2.59, 2 Bi 2.64
P  0.7883  0.7788  0.0000  2 Bi 2.67, 1 Cd 2.76
O  0.0111  0.3618  0.5000  2 Cd 2.25, 2 Bi 2.36-2.43
O  0.0155  0.8964  0.5000  2 Cd 2.23, 2 Bi 2.39-2.41
O  0.4845  0.3964  0.5000  2 Cd 2.23, 2 Bi 2.39-2.41
O  0.4889  0.8618  0.5000  2 Cd 2.25, 2 Bi 2.36-2.43
O  0.5111  0.1382  0.5000  2 Cd 2.25, 2 Bi 2.36-2.43
O  0.5155  0.6036  0.5000  2 Cd 2.23, 2 Bi 2.39-2.41
O  0.9845  0.1036  0.5000  2 Cd 2.23, 2 Bi 2.39-2.41
O  0.9889  0.6382  0.5000  2 Cd 2.25, 2 Bi 2.36-2.43

Output
**Total DFT energy (no corrections)**: -135.20 eV for the cell shown
**SG**: Pbam (55)